Record 1
{"formula": "CeEr3Co2", "functional": "GGA-PBE", "state": "optimized geometry", "cell": [[3.821, 0.000, 0.000], [1.910, 8.214, 0.613], [1.910, 2.590, 9.654]], "species": ["Ce", "Ce", "Er", "Er", "Er", "Er", "Er", "Er", "Co", "Co", "Co", "Co"], "frac_coords": [[0.409, 0.523, 0.660], [0.591, 0.477, 0.340], [0.049, 0.139, 0.763], [0.951, 0.861, 0.237], [0.664, 0.690, 0.981], [0.336, 0.310, 0.019], [0.755, 0.866, 0.623], [0.245, 0.134, 0.377], [0.862, 0.454, 0.823], [0.138, 0.546, 0.177], [0.617, 0.227, 0.540], [0.383, 0.773, 0.460]], "delta_e_f_mev_per_atom": -116, "energy_ev_per_atom": -5.755, "dos_at_fermi_per_ev_atom": 1.16, "de_polymorph_ev_per_atom": 0.0608}


Record 2
{"formula": "CaTl2Fe", "functional": "GGA-PBE", "state": "optimized geometry", "cell": [[0.000, 3.513, 3.513], [3.513, 0.000, 3.513], [3.513, 3.513, 0.000]], "species": ["Tl", "Tl", "Ca", "Fe"], "frac_coords": [[0.250, 0.250, 0.250], [0.750, 0.750, 0.750], [0.000, 0.000, 0.000], [0.500, 0.500, 0.500]], "delta_e_f_mev_per_atom": 395, "energy_ev_per_atom": -3.404, "dos_at_fermi_per_ev_atom": 1.78}


Record 3
{"formula": "MgPdRhPb", "functional": "GGA-PBE", "state": "optimized geometry", "cell": [[4.622, 0.000, 0.000], [2.311, 4.003, 0.000], [2.311, 1.334, 3.774]], "species": ["Pb", "Mg", "Rh", "Pd"], "frac_coords": [[0.250, 0.250, 0.250], [0.750, 0.750, 0.750], [0.500, 0.500, 0.500], [0.000, 0.000, 0.000]], "delta_e_f_mev_per_atom": -355, "energy_ev_per_atom": -4.817, "dos_at_fermi_per_ev_atom": 0.98, "de_polymorph_ev_per_atom": 0.0071}